Computed, not measured: a relaxed NaCrMoF6 crystal at the PBE with a Hubbard U level of DFT.

The structure belongs to space group P-31c (No. 163); the cell edges are 5.5158, 5.5158 and 9.8308 Å and the angles 90.00°, 90.00° and 120.00°. The asymmetric unit holds Na at (0.0000, 0.0000, 0.0000), Cr at (0.3333, 0.6667, 0.2500), Mo at (0.3333, 0.6667, 0.7500) and F at (0.0051, 0.3525, 0.1390).

The total magnetization is 5.00 μB per formula unit. For the total DFT energy (no corrections), the calculation gives -97.03 eV for the cell shown. As for the mass density: 3.65 Mg/m³. The density of states at the Fermi level comes out at 0.75 states/eV per atom.